Density functional theory data (PBE-GGA) for a geometry-optimized LiLaN2F structure.

Cell and atoms, written as extended XYZ:
```
5
Lattice="-2.1159 3.7589 0.7846 -0.2802 -1.0446 4.2488 4.1758 2.1812 0.8116" Properties=species:S:1:pos:R:3 pbc="T T T"
F 2.0879 1.0906 0.4058
N -0.1401 -0.5223 2.1244
N -1.0580 1.8795 0.3923
Li 0.8898 2.4477 2.9226
La 0.0000 0.0000 0.0000
```

Summary:
The value obtained for the formation energy without anion corrections is -0.3944 eV/atom. The energy above the lowest structure with this stoichiometry comes out at 396 meV per atom. As for the spin magnetization: 0.44 μB/f.u.


Density functional theory data (PBE-GGA) for a geometry-optimized TiMnCrTc structure.

Cell and atoms, written as extended XYZ:
```
4
Lattice="-3.4020 -1.4247 -2.0008 -0.8818 -4.1023 0.0206 -3.2788 -1.4301 2.1934" Properties=species:S:1:pos:R:3 pbc="T T T"
Tc 0.0000 0.0000 0.0000
Cr -5.6719 -5.2178 0.1598
Mn -3.7813 -3.4786 0.1066
Ti -1.8906 -1.7393 0.0533
```

Summary:
The energy above the lowest structure with this stoichiometry comes out at 0 meV per atom. As for the spin magnetization: 0.00 μB/f.u. As for the formation energy: -0.189 eV per atom.


Density functional theory data (PBE-GGA) for a geometry-optimized Tb12Nd7Tm structure.

Cell and atoms, written as extended XYZ:
```
20
Lattice="9.2844 0.0000 -3.2825 -4.6422 8.0405 -3.2825 0.0000 0.0000 9.8476" Properties=species:S:1:pos:R:3 pbc="T T T"
Tb 3.5034 6.0702 0.0642
Tb -1.2283 6.0702 -3.2816
Tb 1.2289 6.0691 3.2834
Tb 4.6428 4.0988 3.2816
Tb 1.1388 1.9703 3.2184
Tb 7.0086 0.0011 -0.0642
Tb 5.8705 1.9703 6.5642
Tb -0.0006 3.9417 0.0009
Tb 3.4133 1.9714 -0.0009
Tb 5.7791 6.0691 -3.3467
Tb -2.3665 8.0394 3.3467
Tb -1.1369 1.9714 6.6292
Nd 4.6422 0.0000 3.2825
Nd 4.6422 0.0000 -1.6413
Nd 2.3211 4.0203 -3.2825
Nd 0.0000 0.0000 4.9238
Nd -2.3211 4.0203 3.2825
Nd -2.3211 4.0203 -1.6413
Nd 2.3211 4.0203 1.6413
Tm 0.0000 0.0000 0.0000
```

Summary:
The energy above the lowest structure with this stoichiometry comes out at 403 meV per atom. As for the spin magnetization: 0.00 μB/f.u. As for the formation energy: 0.633 eV per atom.


Density functional theory data (PBE-GGA) for a geometry-optimized Ac2Pr2NdSm structure.

Cell and atoms, written as extended XYZ:
```
12
Lattice="-2.6778 2.8739 -4.5420 -6.4894 -0.4301 3.5537 1.9151 9.0408 4.5913" Properties=species:S:1:pos:R:3 pbc="T T T"
Sm -1.7368 7.3395 1.6983
Sm -5.6140 4.1386 1.9589
Pr -2.3517 4.4323 0.2214
Pr -4.9973 7.0459 3.4348
Pr -4.5833 1.2491 3.4925
Pr -0.0907 7.3550 4.7073
Ac -4.6329 1.2195 -0.4666
Ac -3.3315 7.1567 6.4924
Ac -1.3417 1.4475 1.7069
Ac 0.5265 10.4736 2.3470
Nd 0.9086 4.5180 2.3230
Nd -2.3365 4.3013 4.0990
```

Summary:
As for the spin magnetization: 0.00 μB/f.u. As for the formation energy: 0.066 eV per atom.


| no. | calculated total energy (eV/atom) |
| --- | --- |
| 1 | -5.47 |
| 2 | -9.45 |
| 3 | -4.04 |
| 4 | -4.48 |